The following is a DFT calculation (PBE) of a relaxed Tb2YSc3 crystal.

a b c (Å): 3.448 5.975 16.559
angles (deg): 96.93 90.00 90.00
Fractional positions:
Tb  0.250  0.973  0.167
Tb  0.750  0.250  0.500
Tb  0.250  0.750  0.500
Tb  0.750  0.027  0.833
Sc  0.250  0.361  0.333
Sc  0.250  0.138  0.667
Sc  0.750  0.639  0.667
Sc  0.250  0.249  0.000
Sc  0.750  0.751  0.000
Sc  0.750  0.862  0.333
Y  0.250  0.528  0.833
Y  0.750  0.472  0.167

Properties
Crystal system: monoclinic
Energy relative to the elements (eV per atom): 0.0627
D(E_F) (states/eV/f.u.): 9.87